This record from Alexandria via LeMat-Bulk describes a relaxed BaSmPa4N8 crystal. The functional is PBE.

formation energy from raw total energies	-1.457	eV/atom
energy	-9.401	eV per atom

Cell: 7.0970 7.0970 7.0970 Å, 60.36 60.36 60.36°
Element x y z (fractional)
Ba (0.0000, 0.0000, 0.0000)
Sm (0.6232, 0.6232, 0.6232)
Pa (0.1136, 0.6248, 0.6248)
Pa (0.2426, 0.2426, 0.2426)
Pa (0.6248, 0.1136, 0.6248)
Pa (0.6248, 0.6248, 0.1136)
N (0.3693, 0.3693, 0.8512)
N (0.3693, 0.8512, 0.3693)
N (0.3799, 0.3799, 0.3799)
N (0.4494, 0.8572, 0.8572)
N (0.8467, 0.8467, 0.8467)
N (0.8512, 0.3693, 0.3693)
N (0.8572, 0.4494, 0.8572)
N (0.8572, 0.8572, 0.4494)